<A>
Computed, not measured: crystalline MnCo3O8 at its relaxed geometry at the PBE with a Hubbard U level of DFT.

Cell and atoms, written as extended XYZ:
```
12
Lattice="2.863 1.653 4.977 -2.863 1.653 4.977 0.000 -3.306 4.977" Properties=species:S:1:pos:R:3 pbc="T T T"
Mn 0.000 0.000 0.000
Co -1.432 -0.827 4.977
Co -1.432 0.827 9.954
Co 0.000 1.653 4.977
O 0.000 -1.624 5.924
O -1.406 0.812 5.924
O 0.000 0.000 4.037
O -1.406 -0.812 9.006
O 1.406 0.812 5.924
O 0.000 0.000 10.893
O 1.406 -0.812 9.006
O 0.000 1.624 9.006
```

Symmetry: R-3m, No. 166
Magnetic moment (μB/f.u.): 5.949

---

<B>
Computed, not measured: crystalline MnCo3O8 at its relaxed geometry at the PBE with a Hubbard U level of DFT.

Cell and atoms, written as extended XYZ:
```
24
Lattice="5.631 0.000 0.000 -2.816 4.877 0.000 0.000 0.000 8.764" Properties=species:S:1:pos:R:3 pbc="T T T"
Mn 0.000 3.251 0.000
Mn 2.816 1.626 4.382
Co 0.000 1.632 6.359
Co -1.402 4.061 6.359
Co 1.414 0.816 1.978
Co 1.402 4.061 6.359
Co 4.218 0.816 1.978
Co 2.816 3.244 1.978
O 0.000 0.000 2.936
O 0.000 0.000 7.318
O -1.249 2.530 7.473
O 0.000 1.590 1.052
O -1.439 4.082 1.052
O 1.377 0.795 5.434
O 0.000 3.251 5.402
O 1.249 2.530 7.473
O 0.000 4.693 7.473
O 2.816 0.184 3.091
O 1.567 2.347 3.091
O 2.816 1.626 1.021
O 1.439 4.082 1.052
O 4.254 0.795 5.434
O 2.816 3.287 5.434
O 4.064 2.347 3.091
```

Symmetry: P6_3mc, No. 186
Magnetic moment (μB/f.u.): 5.963

---

Least stable: <B>

---

<A>
Computed, not measured: crystalline Mn3CoO8 at its relaxed geometry at the PBE with a Hubbard U level of DFT.

Cell and atoms, written as extended XYZ:
```
12
Lattice="2.908 1.679 4.991 -2.908 1.679 4.991 0.000 -3.358 4.991" Properties=species:S:1:pos:R:3 pbc="T T T"
Mn -1.454 -0.839 4.991
Mn -1.454 0.839 9.983
Mn 0.000 1.679 4.991
Co 0.000 0.000 0.000
O 0.000 -1.703 5.944
O -1.475 0.852 5.944
O -1.475 -0.852 9.030
O 0.000 0.000 4.032
O 0.000 0.000 10.943
O 1.475 0.852 5.944
O 1.475 -0.852 9.030
O 0.000 1.703 9.030
```

Symmetry: R-3m, No. 166
Magnetic moment (μB/f.u.): 9.987

---

<B>
Computed, not measured: crystalline Mn3CoO8 at its relaxed geometry at the PBE with a Hubbard U level of DFT.

Cell and atoms, written as extended XYZ:
```
24
Lattice="5.782 0.000 0.000 -2.891 5.008 0.000 0.000 0.000 8.653" Properties=species:S:1:pos:R:3 pbc="T T T"
Mn 0.000 1.680 0.000
Mn -1.437 4.168 0.000
Mn 1.455 0.840 4.326
Mn 1.437 4.168 0.000
Mn 4.328 0.840 4.326
Mn 2.891 3.328 4.326
Co 0.000 3.338 2.405
Co 2.891 1.669 6.731
O 0.000 0.000 0.930
O 0.000 0.000 5.256
O -1.253 2.615 1.156
O 0.000 1.683 3.365
O -1.433 4.166 3.365
O 0.000 3.338 7.691
O 1.458 0.842 7.691
O 1.253 2.615 1.156
O 0.000 4.786 1.156
O 2.891 0.222 5.483
O 1.638 2.393 5.483
O 1.433 4.166 3.365
O 2.891 1.669 3.364
O 4.325 0.842 7.691
O 2.891 3.324 7.691
O 4.145 2.393 5.483
```

Symmetry: P6_3mc, No. 186
Magnetic moment (μB/f.u.): 10.000

---

Least stable: <B>

---

<A>
Computed, not measured: crystalline MnCo2O4 at its relaxed geometry at the PBE with a Hubbard U level of DFT.

Cell and atoms, written as extended XYZ:
```
28
Lattice="5.833 0.000 0.000 2.841 5.195 0.000 2.878 1.365 9.734" Properties=species:S:1:pos:R:3 pbc="T T T"
Mn 0.000 0.000 0.000
Mn 4.342 3.935 7.892
Mn 4.366 0.668 3.017
Mn 8.699 4.825 5.440
Co 1.463 0.663 3.020
Co 2.879 3.251 3.026
Co 2.937 1.334 6.049
Co 2.912 1.706 0.607
Co 5.785 3.194 4.837
Co 7.241 3.938 7.888
Co 5.828 1.346 7.884
Co 5.815 3.322 1.207
O 4.210 4.205 4.106
O 2.884 1.560 4.042
O 4.478 2.423 9.106
O 5.789 4.705 8.912
O 4.160 2.468 1.806
O 5.754 5.168 1.913
O 5.786 3.148 6.829
O 7.331 5.484 6.690
O 7.116 2.448 9.096
O 8.714 4.732 8.943
O 5.831 1.375 4.096
O 7.419 4.051 4.212
O 8.718 3.129 6.879
O 8.702 4.945 2.040
O 10.057 5.486 6.688
O 7.401 2.293 1.922
```

Symmetry: P1, No. 1
Magnetic moment (μB/f.u.): 7.500

---

<B>
Computed, not measured: crystalline MnCo2O4 at its relaxed geometry at the PBE with a Hubbard U level of DFT.

Cell and atoms, written as extended XYZ:
```
7
Lattice="5.140 -1.512 0.000 5.140 1.512 0.000 -2.187 0.000 4.687" Properties=species:S:1:pos:R:3 pbc="T T T"
Mn 0.000 0.000 0.000
Co 2.433 0.000 1.528
Co 5.661 0.000 3.159
O 0.377 0.000 1.892
O 3.824 0.000 0.123
O 4.269 0.000 4.565
O 7.716 0.000 2.795
```

Symmetry: C2/m, No. 12
Magnetic moment (μB/f.u.): 8.989

---

Least stable: <B>

---

<A>
Computed, not measured: crystalline Mn2CoO4 at its relaxed geometry at the PBE with a Hubbard U level of DFT.

Cell and atoms, written as extended XYZ:
```
14
Lattice="-2.917 2.917 4.688 2.917 -2.917 4.688 2.917 2.917 -4.688" Properties=species:S:1:pos:R:3 pbc="T T T"
Mn 0.000 0.000 0.000
Mn 1.459 1.459 -2.344
Mn 1.459 -1.459 2.344
Mn 0.000 2.917 0.000
Co 2.917 1.459 1.172
Co 0.000 1.459 3.516
O 2.917 2.781 -2.388
O 2.917 -0.136 2.388
O 1.323 1.459 -0.044
O 1.595 -1.459 4.644
O 1.323 4.376 0.044
O 1.595 1.459 4.732
O 0.000 3.053 2.300
O 0.000 0.136 7.076
```

Symmetry: I4_1/amd, No. 141
Magnetic moment (μB/f.u.): 11.000

---

<B>
Computed, not measured: crystalline Mn2CoO4 at its relaxed geometry at the PBE with a Hubbard U level of DFT.

Cell and atoms, written as extended XYZ:
```
7
Lattice="-2.712 2.712 2.708 2.712 -2.712 2.708 2.712 2.712 -2.708" Properties=species:S:1:pos:R:3 pbc="T T T"
Mn 2.712 0.000 0.000
Mn 0.000 2.712 0.000
Co 0.000 0.000 0.000
O 3.726 -1.014 1.354
O 1.698 1.014 1.354
O -1.014 1.698 1.354
O 1.014 3.726 1.354
```

Symmetry: I422, No. 97
Magnetic moment (μB/f.u.): 11.000

---

Least stable: <B>

---

<A>
Computed, not measured: crystalline MnCoPO2 at its relaxed geometry at the PBE with a Hubbard U level of DFT.

Cell and atoms, written as extended XYZ:
```
5
Lattice="3.640 0.000 0.000 0.000 3.640 0.000 0.000 0.000 4.930" Properties=species:S:1:pos:R:3 pbc="T T T"
Mn 0.000 0.000 0.000
Co 1.820 1.820 2.465
P 1.820 1.820 0.000
O 0.000 1.820 2.465
O 1.820 0.000 2.465
```

Symmetry: P4/mmm, No. 123
Magnetic moment (μB/f.u.): 6.974

---

<B>
Computed, not measured: crystalline MnCoPO2 at its relaxed geometry at the PBE with a Hubbard U level of DFT.

Cell and atoms, written as extended XYZ:
```
5
Lattice="3.643 0.000 0.000 0.000 3.643 0.000 0.000 0.000 5.243" Properties=species:S:1:pos:R:3 pbc="T T T"
Mn 0.000 0.000 0.000
Co 1.822 1.822 2.621
P 0.000 0.000 2.621
O 0.000 1.822 0.000
O 1.822 0.000 0.000
```

Symmetry: P4/mmm, No. 123
Magnetic moment (μB/f.u.): 4.953

---

Least stable: <B>

---

<A>
Computed, not measured: crystalline MnCoP2O at its relaxed geometry at the PBE with a Hubbard U level of DFT.

Cell and atoms, written as extended XYZ:
```
5
Lattice="4.827 0.000 0.000 0.000 4.827 0.000 0.000 0.000 3.509" Properties=species:S:1:pos:R:3 pbc="T T T"
Mn 0.000 0.000 0.000
Co 2.414 2.414 1.755
P 0.000 2.414 0.000
P 2.414 0.000 0.000
O 0.000 0.000 1.755
```

Symmetry: P4/mmm, No. 123
Magnetic moment (μB/f.u.): 0.637

---

<B>
Computed, not measured: crystalline MnCoP2O at its relaxed geometry at the PBE with a Hubbard U level of DFT.

Cell and atoms, written as extended XYZ:
```
5
Lattice="4.266 0.000 0.000 0.000 4.266 0.000 0.000 0.000 3.966" Properties=species:S:1:pos:R:3 pbc="T T T"
Mn 0.000 0.000 0.000
Co 2.133 2.133 0.000
P 0.000 2.133 1.983
P 2.133 0.000 1.983
O 0.000 0.000 1.983
```

Symmetry: P4/mmm, No. 123
Magnetic moment (μB/f.u.): 6.347

---

<C>
Computed, not measured: crystalline MnCoP2O at its relaxed geometry at the PBE with a Hubbard U level of DFT.

Cell and atoms, written as extended XYZ:
```
5
Lattice="4.717 0.000 0.000 0.000 4.717 0.000 0.000 0.000 3.394" Properties=species:S:1:pos:R:3 pbc="T T T"
Mn 0.000 0.000 0.000
Co 2.359 2.359 1.697
P 0.000 2.359 1.697
P 2.359 0.000 1.697
O 2.359 2.359 0.000
```

Symmetry: P4/mmm, No. 123
Magnetic moment (μB/f.u.): 5.704

---

Least stable: <A>

---

<A>
Computed, not measured: crystalline MnCoP2O8 at its relaxed geometry at the PBE with a Hubbard U level of DFT.

Cell and atoms, written as extended XYZ:
```
36
Lattice="4.296 2.481 6.814 -4.296 2.481 6.814 0.000 -4.961 6.814" Properties=species:S:1:pos:R:3 pbc="T T T"
Mn 0.000 0.000 0.000
Mn 0.000 0.000 4.414
Mn 0.000 0.000 14.613
Co 0.000 0.000 7.368
Co 0.000 0.000 10.273
Co 0.000 0.000 17.501
P -3.029 0.316 9.016
P -1.271 -2.197 12.431
P 1.241 -2.781 9.016
P -1.267 2.199 12.431
P 1.788 2.465 9.016
P 2.538 -0.003 12.431
O -3.500 1.023 7.733
O -0.811 -1.246 5.795
O -2.837 -2.354 12.254
O -3.403 1.050 10.296
O 0.864 -3.542 7.733
O -1.489 0.141 8.827
O -0.673 1.325 5.795
O -0.846 -1.485 11.151
O 0.792 -3.472 10.296
O 0.622 -1.360 8.827
O 1.484 -0.079 5.795
O -0.876 -1.490 13.715
O -0.863 1.475 11.151
O -1.507 -0.137 16.017
O 0.867 1.219 8.827
O -0.852 1.504 13.715
O 1.709 0.010 11.151
O -0.620 3.634 12.254
O 0.872 -1.237 16.017
O 2.636 2.520 7.733
O 1.728 -0.014 13.715
O 3.457 -1.280 12.254
O 0.635 1.374 16.017
O 2.611 2.422 10.296
```

Symmetry: R3, No. 146
Magnetic moment (μB/f.u.): 7.027

---

<B>
Computed, not measured: crystalline MnCoP2O8 at its relaxed geometry at the PBE with a Hubbard U level of DFT.

Cell and atoms, written as extended XYZ:
```
24
Lattice="4.837 0.000 0.000 0.000 5.918 0.000 -0.245 0.000 9.878" Properties=species:S:1:pos:R:3 pbc="T T T"
Mn 0.318 1.479 2.124
Mn 4.274 4.438 7.753
Co 1.918 1.479 7.084
Co 2.674 4.438 2.794
P 0.447 4.438 0.963
P 1.797 4.438 5.881
P 2.795 1.479 3.996
P 4.146 1.479 8.915
O 0.514 4.438 9.329
O 0.817 1.479 8.698
O 1.187 3.248 1.674
O 1.187 5.629 1.674
O 1.106 3.216 6.600
O 1.106 5.660 6.600
O 1.269 1.479 3.761
O 1.524 4.438 4.380
O 3.068 1.479 5.498
O 3.324 4.438 6.117
O 3.486 0.257 3.278
O 3.486 2.702 3.278
O 3.405 0.289 8.203
O 3.405 2.670 8.203
O 3.775 4.438 1.180
O 4.078 1.479 0.548
```

Symmetry: P2_1/m, No. 11
Magnetic moment (μB/f.u.): 7.992

---

Least stable: <A>